Entry 1:
A relaxed V12Sn crystal. Source: Alexandria via LeMat-Bulk, functional PBE.

abc: 7.1777 7.1777 7.1777
angles: 60.00 60.00 60.00
Element x y z (fractional)
V: 0.1674 0.5000 0.5000
V: 0.5000 0.8326 0.5000
V: 0.5000 0.5000 0.8326
V: 0.5000 0.1674 0.8326
V: 0.5000 0.5000 0.1674
V: 0.8326 0.5000 0.5000
V: 0.8326 0.5000 0.1674
V: 0.1674 0.5000 0.8326
V: 0.5000 0.8326 0.1674
V: 0.8326 0.1674 0.5000
V: 0.5000 0.1674 0.5000
V: 0.1674 0.8326 0.5000
Sn: 0.0000 0.0000 0.0000

Output
Calculated formation energy   1.654 eV/atom
Density of states at the Fermi level   1.518 states/eV per atom
Density   4.6 g/cm³
Symmetry   Fm-3m

=====

Entry 2:
A relaxed VSn3W crystal. Source: Alexandria via LeMat-Bulk, functional PBE.

abc: 5.2536 5.2536 5.2536
angles: 90.00 90.00 90.00
Element x y z (fractional)
Sn: 0.5000 0.0000 0.0000
Sn: 0.0000 0.5000 0.0000
Sn: 0.0000 0.0000 0.5000
W: 0.0000 0.0000 0.0000
V: 0.5000 0.5000 0.5000

Output
Calculated formation energy   1.001 eV/atom
Density of states at the Fermi level   2.132 states/eV per atom
Density   6.8 g/cm³
Symmetry   Pm-3m

=====

Entry 3:
A relaxed V4SnW crystal. Source: Alexandria via LeMat-Bulk, functional PBE.

abc: 5.0154 5.0154 5.0154
angles: 60.00 60.00 60.00
Element x y z (fractional)
V: 0.6241 0.6241 0.1276
V: 0.1276 0.6241 0.6241
V: 0.6241 0.6241 0.6241
V: 0.6241 0.1276 0.6241
Sn: 0.0000 0.0000 0.0000
W: 0.2500 0.2500 0.2500

Output
Calculated formation energy   0.069 eV/atom
Density of states at the Fermi level   1.857 states/eV per atom
Density   9.4 g/cm³
Symmetry   F-43m

=====

Entry 4:
A relaxed V3SnW crystal. Source: Alexandria via LeMat-Bulk, functional PBE.

abc: 4.6169 4.6169 4.6169
angles: 90.00 90.00 90.00
Element x y z (fractional)
V: 0.0000 0.5000 0.0000
V: 0.0000 0.0000 0.5000
V: 0.5000 0.0000 0.0000
Sn: 0.5000 0.5000 0.5000
W: 0.0000 0.0000 0.0000

Output
Calculated formation energy   1.153 eV/atom
Density of states at the Fermi level   0.637 states/eV per atom
Density   7.7 g/cm³
Symmetry   Pm-3m

=====

Entry 5:
A relaxed V2SnW2 crystal. Source: Alexandria via LeMat-Bulk, functional PBE.

abc: 7.5491 7.5491 2.9955
angles: 90.00 90.00 90.00
Element x y z (fractional)
W: 0.3868 0.8868 0.0000
W: 0.1132 0.3868 0.0000
W: 0.6132 0.1132 0.0000
W: 0.8868 0.6132 0.0000
V: 0.1877 0.6877 0.5000
V: 0.6877 0.8123 0.5000
V: 0.3123 0.1877 0.5000
V: 0.8123 0.3123 0.5000
Sn: 0.0000 0.0000 0.0000
Sn: 0.5000 0.5000 0.0000

Output
Calculated formation energy   0.499 eV/atom
Density of states at the Fermi level   1.201 states/eV per atom
Density   11.4 g/cm³
Symmetry   P4/mbm

=====

Entry 6:
A relaxed VSn2W crystal. Source: Alexandria via LeMat-Bulk, functional PBE.

abc: 2.9922 2.9922 10.3033
angles: 81.65 81.65 60.00
Element x y z (fractional)
W: 0.0000 0.0000 0.0000
Sn: 0.9073 0.9073 0.2782
Sn: 0.0927 0.0927 0.7218
V: 0.5000 0.5000 0.5000

Output
Calculated formation energy   0.709 eV/atom
Density of states at the Fermi level   0.889 states/eV per atom
Density   10.0 g/cm³
Symmetry   R-3m

=====

Entry 7:
A relaxed V3SnW crystal. Source: Alexandria via LeMat-Bulk, functional PBE.

abc: 4.7027 4.7027 4.7027
angles: 90.00 90.00 90.00
Element x y z (fractional)
V: 0.0000 0.0000 0.5000
V: 0.0000 0.5000 0.0000
V: 0.5000 0.0000 0.0000
Sn: 0.0000 0.0000 0.0000
W: 0.5000 0.5000 0.5000

Output
Calculated formation energy   2.102 eV/atom
Density of states at the Fermi level   1.634 states/eV per atom
Density   7.3 g/cm³
Symmetry   Pm-3m

=====

Entry 8:
A relaxed VSn2W crystal. Source: Alexandria via LeMat-Bulk, functional PBE.

abc: 4.7027 4.7027 4.7027
angles: 60.00 60.00 60.00
Element x y z (fractional)
W: 0.5000 0.5000 0.5000
Sn: 0.7500 0.7500 0.7500
Sn: 0.2500 0.2500 0.2500
V: 0.0000 0.0000 0.0000

Output
Calculated formation energy   0.506 eV/atom
Density of states at the Fermi level   1.397 states/eV per atom
Density   10.7 g/cm³
Symmetry   Fm-3m